CsZrMo2O8 | PBE with a Hubbard U | relaxed

Output
The space-group type is R-3 (148). The electronic total energy is -7.312 eV per atom.

a = 9.556 Å, b = 9.556 Å, c = 9.556 Å
α = 35.60°, β = 35.60°, γ = 35.60°
Fractional positions:
Cs: 0.000 0.000 0.000
Zr: 0.500 0.500 0.500
Mo: 0.235 0.235 0.235
Mo: 0.765 0.765 0.765
O: 0.122 0.556 0.687
O: 0.301 0.301 0.301
O: 0.313 0.878 0.444
O: 0.444 0.313 0.878
O: 0.556 0.687 0.122
O: 0.687 0.122 0.556
O: 0.699 0.699 0.699
O: 0.878 0.444 0.313